VASP calculation (GGA-PBE) on a geometry-optimized Cu3Hg4 structure.

Cell lengths 5.529, 5.529, 5.529 Å; angles 90.00, 90.00, 90.00 degrees
Fractional coordinates of all 7 atoms:
Cu1 0.500 0.000 0.500
Cu2 0.000 0.500 0.500
Cu3 0.500 0.500 0.000
Hg1 0.803 0.803 0.803
Hg2 0.197 0.197 0.803
Hg3 0.197 0.803 0.197
Hg4 0.803 0.197 0.197

Output
- energy of formation (kcal/mol of atoms) = 10.794

---

VASP calculation (GGA-PBE) on a geometry-optimized CuHg2 structure.

Cell lengths 6.705, 3.758, 9.762 Å; angles 90.00, 90.00, 90.00 degrees
Fractional coordinates of all 12 atoms:
Cu1 0.303 0.250 0.825
Cu2 0.197 0.750 0.325
Cu3 0.803 0.250 0.675
Cu4 0.697 0.750 0.175
Hg1 0.320 0.750 0.046
Hg2 0.820 0.750 0.454
Hg3 0.993 0.250 0.179
Hg4 0.680 0.250 0.954
Hg5 0.493 0.250 0.321
Hg6 0.180 0.250 0.546
Hg7 0.507 0.750 0.679
Hg8 0.007 0.750 0.821

Output
- energy of formation (kcal/mol of atoms) = 3.977

---

VASP calculation (GGA-PBE) on a geometry-optimized Cu3Hg structure.

Cell lengths 3.013, 3.132, 6.804 Å; angles 90.00, 64.20, 90.00 degrees
Fractional coordinates of all 4 atoms:
Hg1 0.750 0.500 0.750
Cu1 0.250 0.500 0.250
Cu2 0.542 0.000 0.460
Cu3 0.958 0.000 0.040

Output
- energy of formation (kcal/mol of atoms) = 2.974